Material: AcNi2Ge4
Method: DFT, GGA-PBE
State: optimized geometry

```
data_AcNi2Ge4
_chemical_formula_sum 'Ac4 Ni8 Ge16'
_symmetry_space_group_name_H-M 'P n m a'
_symmetry_Int_Tables_number 62
_cell_length_a 17.832
_cell_length_b 4.198
_cell_length_c 6.901
_cell_angle_alpha 90.00
_cell_angle_beta 90.00
_cell_angle_gamma 90.00
loop_
_symmetry_equiv_pos_as_xyz
'x,y,z'
'-x,-y,-z'
'-x+1/2,-y,z+1/2'
'x+1/2,y,-z+1/2'
'x+1/2,-y+1/2,-z+1/2'
'-x+1/2,y+1/2,z+1/2'
'-x,y+1/2,-z'
'x,-y+1/2,z'
loop_
_atom_site_label
_atom_site_fract_x
_atom_site_fract_y
_atom_site_fract_z
_atom_site_occupancy
Ac1 0.118 0.250 0.001 1
Ni1 0.042 0.750 0.651 1
Ni2 0.223 0.250 0.456 1
Ge1 0.028 0.750 0.269 1
Ge2 0.090 0.250 0.490 1
Ge3 0.187 0.750 0.672 1
Ge4 0.209 0.750 0.271 1
```

Results
Energy of formation from the pure elements, meV/atom: -392.5
Total moment, Bohr magnetons per cell: 0.0
Crystal system: orthorhombic
Energy above the lowest structure with this stoichiometry, eV/atom: 0.000
ρ, kg/m³: 8163


Material: Tm2RuBr
Method: DFT, GGA-PBE
State: optimized geometry

```
data_Tm2RuBr
_chemical_formula_sum 'Tm6 Ru3 Br3'
_symmetry_space_group_name_H-M 'R 3 m'
_symmetry_Int_Tables_number 160
_symmetry_space_group_name_Hall 'R 3 -2"'
_cell_length_a 3.9172
_cell_length_b 3.9172
_cell_length_c 22.9791
_cell_angle_alpha 90.00
_cell_angle_beta 90.00
_cell_angle_gamma 120.00
loop_
_atom_site_label
_atom_site_fract_x
_atom_site_fract_y
_atom_site_fract_z
_atom_site_occupancy
Tm1 0.0000 0.0000 0.0000 1
Tm2 0.0000 0.0000 0.2059 1
Ru1 0.0000 0.0000 0.6023 1
Br1 0.0000 0.0000 0.4336 1
```

Results
Total moment, Bohr magnetons per cell: 0.0
Crystal system: trigonal
Energy above the lowest structure with this stoichiometry, eV/atom: 0.065
ρ, kg/m³: 8464


Material: LiZrSe
Method: DFT, GGA-PBE
State: optimized geometry

```
data_LiZrSe
_chemical_formula_sum 'Li1 Zr1 Se1'
_symmetry_space_group_name_H-M 'P 3 m 1'
_symmetry_Int_Tables_number 156
_cell_length_a 3.5386
_cell_length_b 3.5386
_cell_length_c 6.0911
_cell_angle_alpha 90.00
_cell_angle_beta 90.00
_cell_angle_gamma 120.00
loop_
_symmetry_equiv_pos_as_xyz
'x,y,z'
'-y,x-y,z'
'-x+y,-x,z'
'-y,-x,z'
'-x+y,y,z'
'x,x-y,z'
loop_
_atom_site_label
_atom_site_fract_x
_atom_site_fract_y
_atom_site_fract_z
_atom_site_occupancy
Li1 0.0000 0.0000 0.0000 1
Zr1 0.3333 0.6667 0.5515 1
Se1 0.6667 0.3333 0.2636 1
```

Results
Total moment, Bohr magnetons per cell: 0.8
Crystal system: trigonal
Energy above the lowest structure with this stoichiometry, eV/atom: 0.328
ρ, kg/m³: 4453


Material: HoErOs
Method: DFT, GGA-PBE
State: optimized geometry

```
data_HoErOs
_chemical_formula_sum 'Ho2 Er2 Os2'
_symmetry_space_group_name_H-M 'I 4 m m'
_symmetry_Int_Tables_number 107
_symmetry_space_group_name_Hall 'I 4 -2'
_cell_length_a 3.375
_cell_length_b 3.375
_cell_length_c 13.029
_cell_angle_alpha 90.00
_cell_angle_beta 90.00
_cell_angle_gamma 90.00
loop_
_atom_site_label
_atom_site_fract_x
_atom_site_fract_y
_atom_site_fract_z
_atom_site_occupancy
Ho1 0.000 0.000 0.000 1
Er1 0.000 0.000 0.748 1
Os1 0.000 0.000 0.373 1
```

Results
Energy of formation from the pure elements, meV/atom: -270.1
Total moment, Bohr magnetons per cell: 0.0
Crystal system: tetragonal
Energy above the lowest structure with this stoichiometry, eV/atom: 0.012
ρ, kg/m³: 11692


Material: Ac3La
Method: DFT, GGA-PBE
State: optimized geometry

```
data_Ac3La
_chemical_formula_sum 'Ac3 La1'
_symmetry_space_group_name_H-M 'P m -3 m'
_symmetry_Int_Tables_number 221
_symmetry_space_group_name_Hall '-P 4 2 3'
_cell_length_a 5.557
_cell_length_b 5.557
_cell_length_c 5.557
_cell_angle_alpha 90.00
_cell_angle_beta 90.00
_cell_angle_gamma 90.00
loop_
_atom_site_label
_atom_site_fract_x
_atom_site_fract_y
_atom_site_fract_z
_atom_site_occupancy
Ac1 0.000 0.000 0.500 1
La1 0.500 0.500 0.500 1
```

Results
Energy of formation from the pure elements, meV/atom: 13.5
Total moment, Bohr magnetons per cell: 0.0
Crystal system: cubic
Energy above the lowest structure with this stoichiometry, eV/atom: 0.000
ρ, kg/m³: 7935


Material: Re2SiAg
Method: DFT, GGA-PBE
State: optimized geometry

```
data_Re2SiAg
_chemical_formula_sum 'Re2 Si1 Ag1'
_symmetry_space_group_name_H-M 'P 4/m m m'
_symmetry_Int_Tables_number 123
_symmetry_space_group_name_Hall '-P 4 2'
_cell_length_a 2.959
_cell_length_b 2.959
_cell_length_c 6.818
_cell_angle_alpha 90.00
_cell_angle_beta 90.00
_cell_angle_gamma 90.00
loop_
_atom_site_label
_atom_site_fract_x
_atom_site_fract_y
_atom_site_fract_z
_atom_site_occupancy
Re1 0.000 0.000 0.203 1
Si1 0.500 0.500 0.000 1
Ag1 0.500 0.500 0.500 1
```

Results
Total moment, Bohr magnetons per cell: 0.0
Crystal system: tetragonal
Raw total energy, hartree per atom: -0.29359
ρ, kg/m³: 14142